# P2RhCl PBE-GGA relaxed
# - Formation energy without anion corrections: 0.54 eV/atom
# - Total energy: -4.460 eV per atom
# - Relative energy among the computed polymorphs: 713 meV per atom
data_P2RhCl
_chemical_formula_sum 'P2 Rh1 Cl1'
_cell_length_a 3.3610
_cell_length_b 3.7176
_cell_length_c 5.0414
_cell_angle_alpha 90.00
_cell_angle_beta 90.00
_cell_angle_gamma 90.00
_space_group_name_H-M_alt 'P m m m'
_space_group_IT_number 47
_space_group_name_Hall '-P 2 2'
loop_
_atom_site_label
_atom_site_type_symbol
_atom_site_fract_x
_atom_site_fract_y
_atom_site_fract_z
P1 P 0.0000 0.0000 0.0000
P2 P 0.5000 0.5000 0.0000
Rh1 Rh 0.0000 0.5000 0.5000
Cl1 Cl 0.5000 0.0000 0.5000